(1)
{"formula": "PuMn2Cu", "functional": "PBE", "state": "relaxed", "total_magnetization_mub_per_fu": 0.85, "de_polymorph_kj_per_mol_fu": 55, "dos_at_fermi_per_ev_atom": 1.916, "formation_energy_ev_per_fu": 0.79, "sg": "No. 225", "lattice_angstrom": [[0.0000, 3.0662, 3.0662], [3.0662, 0.0000, 3.0662], [3.0662, 3.0662, 0.0000]], "species": ["Pu", "Mn", "Mn", "Cu"], "fractional_positions": [[0.0000, 0.0000, 0.0000], [0.2500, 0.2500, 0.2500], [0.7500, 0.7500, 0.7500], [0.5000, 0.5000, 0.5000]]}

=====

(2)
{"formula": "CsRb2AlS", "functional": "PBE", "state": "relaxed", "total_magnetization_mub_per_fu": 0.00, "dos_at_fermi_per_ev_atom": 0.373, "e_form_raw_kj_per_mol_atoms": -0.5, "sg": "No. 123", "lattice_angstrom": [[7.2459, 0.0000, 0.0000], [0.0000, 7.2459, 0.0000], [0.0000, 0.0000, 5.0215]], "species": ["Cs", "Rb", "Rb", "Al", "S"], "fractional_positions": [[0.0000, 0.0000, 0.0000], [0.0000, 0.5000, 0.5000], [0.5000, 0.0000, 0.5000], [0.5000, 0.5000, 0.5000], [0.5000, 0.5000, 0.0000]]}

=====

(3)
{"formula": "GaHg2OsSe", "functional": "PBE", "state": "relaxed", "total_magnetization_mub_per_fu": 0.00, "dos_at_fermi_per_ev_atom": 0.754, "e_form_raw_kj_per_mol_atoms": 44.7, "sg": "No. 123", "lattice_angstrom": [[5.4160, 0.0000, 0.0000], [0.0000, 5.4160, 0.0000], [0.0000, 0.0000, 4.6295]], "species": ["Ga", "Hg", "Hg", "Os", "Se"], "fractional_positions": [[0.0000, 0.0000, 0.0000], [0.0000, 0.5000, 0.5000], [0.5000, 0.0000, 0.5000], [0.5000, 0.5000, 0.5000], [0.5000, 0.5000, 0.0000]]}

=====

(4)
{"formula": "CaY3Cr", "functional": "PBE", "state": "relaxed", "total_magnetization_mub_per_fu": 0.07, "de_polymorph_kj_per_mol_fu": 719, "dos_at_fermi_per_ev_atom": 2.543, "formation_energy_ev_per_fu": 8.96, "sg": "No. 221", "lattice_angstrom": [[5.4324, 0.0000, 0.0000], [0.0000, 5.4324, 0.0000], [0.0000, 0.0000, 5.4324]], "species": ["Ca", "Y", "Y", "Y", "Cr"], "fractional_positions": [[0.0000, 0.0000, 0.0000], [0.0000, 0.0000, 0.5000], [0.0000, 0.5000, 0.0000], [0.5000, 0.0000, 0.0000], [0.5000, 0.5000, 0.5000]]}

=====

(5)
{"formula": "TbYIr", "functional": "PBE", "state": "relaxed", "total_magnetization_mub_per_fu": 0.00, "de_polymorph_kj_per_mol_fu": 2, "dos_at_fermi_per_ev_atom": 1.119, "formation_energy_ev_per_fu": -2.01, "sg": "No. 216", "lattice_angstrom": [[0.0000, 3.4087, 3.4087], [3.4087, 0.0000, 3.4087], [3.4087, 3.4087, 0.0000]], "species": ["Tb", "Y", "Ir"], "fractional_positions": [[0.0000, 0.0000, 0.0000], [0.5000, 0.5000, 0.5000], [0.2500, 0.2500, 0.2500]]}

=====

(6)
{"formula": "NbPb", "functional": "PBE", "state": "relaxed", "total_magnetization_mub_per_fu": 0.00, "de_polymorph_kj_per_mol_fu": 19, "dos_at_fermi_per_ev_atom": 0.530, "formation_energy_ev_per_fu": 0.69, "sg": "No. 38", "lattice_angstrom": [[3.3459, 0.0000, 0.0000], [0.0000, 6.5573, 3.4611], [0.0000, -6.5573, 3.4611]], "species": ["Nb", "Nb", "Nb", "Pb", "Pb", "Pb"], "fractional_positions": [[0.0000, 0.0000, 0.0000], [0.5000, 0.1200, 0.3351], [0.5000, 0.3351, 0.1200], [0.0000, 0.1655, 0.7038], [0.0000, 0.5667, 0.5667], [0.0000, 0.7038, 0.1655]]}

=====

(7)
{"formula": "YCrAs2", "functional": "PBE", "state": "relaxed", "total_magnetization_mub_per_fu": 3.37, "de_polymorph_kj_per_mol_fu": 132, "dos_at_fermi_per_ev_atom": 0.538, "formation_energy_ev_per_fu": -1.75, "sg": "No. 65", "lattice_angstrom": [[2.0502, -2.8472, 0.0000], [2.0502, 2.8472, 0.0000], [0.0000, 0.0000, 7.0116]], "species": ["Y", "Cr", "As", "As"], "fractional_positions": [[0.0000, 0.0000, 0.0000], [0.0000, 0.0000, 0.5000], [0.5000, 0.5000, 0.2795], [0.5000, 0.5000, 0.7205]]}

=====

(8)
{"formula": "UZn3Ga2", "functional": "PBE", "state": "relaxed", "total_magnetization_mub_per_fu": 2.80, "dos_at_fermi_per_ev_atom": 0.857, "formation_energy_ev_per_fu": 0.48, "sg": "No. 72", "lattice_angstrom": [[-2.8830, 7.2696, 2.6668], [2.8830, -7.2696, 2.6668], [2.8830, 7.2696, -2.6668]], "species": ["U", "U", "Zn", "Zn", "Zn", "Zn", "Zn", "Zn", "Ga", "Ga", "Ga", "Ga"], "fractional_positions": [[0.0000, 0.0000, 0.0000], [0.5000, 0.5000, 0.0000], [0.0556, 0.2500, 0.8056], [0.2500, 0.7500, 0.5000], [0.4444, 0.2500, 0.1944], [0.5556, 0.7500, 0.8056], [0.7500, 0.2500, 0.5000], [0.9444, 0.7500, 0.1944], [0.1518, 0.6079, 0.7597], [0.3482, 0.1079, 0.4561], [0.6518, 0.8921, 0.5439], [0.8482, 0.3921, 0.2403]]}

=====

Uncorrected energy: -35.98 -10.68 -16.03 -22.06 -21.96 -39.28 -27.14 -41.37 (eV/cell)